i.
## ZrNbSb2 (GGA-PBEsol)

Data for a relaxed structure of ZrNbSb2.

Results
N(E_F) (states/eV per cell): 18.53
Spin magnetization (μB per formula unit): 1.3

Cell: 6.138 6.138 13.508 Å, 90.00 90.00 90.00°
Space group I-42d (No. 122)
Asymmetric unit:
Zr1 0.000 0.000 0.000 (multiplicity 4)
Nb1 0.000 0.000 0.500 (multiplicity 4)
Sb1 0.234 0.250 0.625 (multiplicity 8)

ii.
## ZrNbSb2 (GGA-PBEsol)

Data for a relaxed structure of ZrNbSb2.

Results
N(E_F) (states/eV per cell): 11.55
Spin magnetization (μB per formula unit): 0.0

Cell: 6.890 6.890 6.890 Å, 90.00 90.00 90.00°
Space group Fm-3m (No. 225)
Asymmetric unit:
Zr1 0.000 0.000 0.000 (multiplicity 4)
Nb1 0.000 0.000 0.500 (multiplicity 4)
Sb1 0.250 0.250 0.250 (multiplicity 8)

ii ends up most stable, edging out the next structure by 964 meV per atom.

i.
## Nd (GGA-PBEsol)

Data for a relaxed structure of Nd.

Results
N(E_F) (states/eV per cell): 5.10
Spin magnetization (μB per formula unit): 0.0

Cell: 3.6139 3.6139 11.6665 Å, 90.00 90.00 120.00°
Space group P6_3/mmc (No. 194)
Asymmetric unit:
Nd1 0.0000 0.0000 0.0000 (multiplicity 2)
Nd2 0.3333 0.6667 0.2500 (multiplicity 2)

ii.
## Nd (GGA-PBEsol)

Data for a relaxed structure of Nd.

Results
N(E_F) (states/eV per cell): 11.52
Spin magnetization (μB per formula unit): 0.0

Cell: 3.6233 3.6233 26.1906 Å, 90.00 90.00 120.00°
Space group R-3m (No. 166, hexagonal axes)
Asymmetric unit:
Nd1 0.0000 0.0000 0.0000 (multiplicity 3)
Nd2 0.0000 0.0000 0.2229 (multiplicity 6)

i ends up most stable, edging out the next structure by 6 meV per atom.

i.
## Nd (GGA-PBEsol)

Data for a relaxed structure of Nd.

Results
N(E_F) (states/eV per cell): 3.25
Spin magnetization (μB per formula unit): 0.0

Cell: 3.6070 3.6070 5.8788 Å, 90.00 90.00 120.00°
Space group P6_3/mmc (No. 194)
Asymmetric unit:
Nd1 0.3333 0.6667 0.2500 (multiplicity 2)

ii.
## Nd (GGA-PBEsol)

Data for a relaxed structure of Nd.

Results
N(E_F) (states/eV per cell): 6.52
Spin magnetization (μB per formula unit): 0.0

Cell: 5.091 5.091 5.091 Å, 90.00 90.00 90.00°
Space group Fm-3m (No. 225)
Asymmetric unit:
Nd1 0.000 0.000 0.000 (multiplicity 4)

ii ends up most stable, edging out the next structure by 23 meV per atom.

i.
## Nd2SiTeO4 (GGA-PBEsol)

Data for a relaxed structure of Nd2SiTeO4.

Results
N(E_F) (states/eV per cell): 0.00
Spin magnetization (μB per formula unit): 0.0

Cell: 9.779 6.401 8.685 Å, 90.00 94.79 90.00°
Space group P2_1/c (No. 14)
Asymmetric unit:
Nd1 0.105 0.151 0.193 (multiplicity 4)
Nd2 0.348 0.695 0.336 (multiplicity 4)
Si1 0.126 0.690 0.057 (multiplicity 4)
Te1 0.406 0.211 0.385 (multiplicity 4)
O1 0.021 0.191 0.921 (multiplicity 4)
O2 0.125 0.634 0.874 (multiplicity 4)
O3 0.155 0.509 0.186 (multiplicity 4)
O4 0.251 0.639 0.591 (multiplicity 4)

ii.
## Nd2SiTeO4 (GGA-PBEsol)

Data for a relaxed structure of Nd2SiTeO4.

Results
N(E_F) (states/eV per cell): 0.00
Spin magnetization (μB per formula unit): 0.0

Cell: 6.292 7.160 11.131 Å, 90.00 90.00 90.00°
Space group Pbcm (No. 57)
Asymmetric unit:
Nd1 0.111 0.250 0.000 (multiplicity 4)
Nd2 0.386 0.538 0.250 (multiplicity 4)
Si1 0.387 0.750 0.000 (multiplicity 4)
Te1 0.100 0.576 0.750 (multiplicity 4)
O1 0.230 0.576 0.037 (multiplicity 8)
O2 0.450 0.231 0.616 (multiplicity 8)

ii ends up most stable, edging out the next structure by 28 meV per atom.

i.
## SrNd2O4 (GGA-PBEsol)

Data for a relaxed structure of SrNd2O4.

Results
N(E_F) (states/eV per cell): 0.00
Spin magnetization (μB per formula unit): 0.0

Cell: 9.973 3.575 12.175 Å, 90.00 90.00 90.00°
Space group Pnma (No. 62)
Asymmetric unit:
Sr1 0.239 0.250 0.149 (multiplicity 4)
Nd1 0.062 0.750 0.382 (multiplicity 4)
Nd2 0.102 0.750 0.895 (multiplicity 4)
O1 0.010 0.750 0.716 (multiplicity 4)
O2 0.061 0.750 0.085 (multiplicity 4)
O3 0.146 0.250 0.509 (multiplicity 4)
O4 0.226 0.250 0.809 (multiplicity 4)

ii.
## SrNd2O4 (GGA-PBEsol)

Data for a relaxed structure of SrNd2O4.

Results
N(E_F) (states/eV per cell): 0.00
Spin magnetization (μB per formula unit): 0.0

Cell: 10.074 10.074 10.074 Å, 90.00 90.00 90.00°
Space group Fd-3m (No. 227, origin choice 2)
Asymmetric unit:
Sr1 0.125 0.125 0.125 (multiplicity 8)
Nd1 0.000 0.000 0.500 (multiplicity 16)
O1 0.015 0.015 0.735 (multiplicity 32)

i ends up most stable, edging out the next structure by 22 meV per atom.

i.
## NdTa3O9 (GGA-PBEsol)

Data for a relaxed structure of NdTa3O9.

Results
N(E_F) (states/eV per cell): 0.00
Spin magnetization (μB per formula unit): 0.0

Cell: 16.610 5.526 9.649 Å, 90.00 125.08 90.00°
Space group C2/m (No. 12)
Asymmetric unit:
Nd1 0.171 0.000 0.001 (multiplicity 4)
Ta1 0.077 0.500 0.742 (multiplicity 4)
Ta2 0.084 0.000 0.249 (multiplicity 4)
Ta3 0.248 0.000 0.736 (multiplicity 4)
O1 0.000 0.000 0.000 (multiplicity 2)
O2 0.000 0.500 0.500 (multiplicity 2)
O3 0.011 0.239 0.772 (multiplicity 8)
O4 0.164 0.240 0.228 (multiplicity 8)
O5 0.165 0.000 0.496 (multiplicity 4)
O6 0.175 0.250 0.774 (multiplicity 8)
O7 0.177 0.500 0.000 (multiplicity 4)

ii.
## NdTa3O9 (GGA-PBEsol)

Data for a relaxed structure of NdTa3O9.

Results
N(E_F) (states/eV per cell): 0.00
Spin magnetization (μB per formula unit): 0.0

Cell: 5.378 7.535 8.211 Å, 90.00 92.46 90.00°
Space group P2_1/m (No. 11)
Asymmetric unit:
Nd1 0.034 0.250 0.434 (multiplicity 2)
Ta1 0.000 0.000 0.000 (multiplicity 2)
Ta2 0.472 0.007 0.698 (multiplicity 4)
O1 0.088 0.250 0.981 (multiplicity 2)
O2 0.152 0.558 0.786 (multiplicity 4)
O3 0.265 0.539 0.467 (multiplicity 4)
O4 0.320 0.549 0.121 (multiplicity 4)
O5 0.349 0.250 0.660 (multiplicity 2)
O6 0.439 0.250 0.313 (multiplicity 2)

ii ends up most stable, edging out the next structure by 22 meV per atom.

i.
## Nd2WO6 (GGA-PBEsol)

Data for a relaxed structure of Nd2WO6.

Results
N(E_F) (states/eV per cell): 0.00
Spin magnetization (μB per formula unit): 0.0

Cell: 16.480 11.329 5.510 Å, 90.00 107.07 90.00°
Space group C2/c (No. 15)
Asymmetric unit:
Nd1 0.000 0.109 0.250 (multiplicity 4)
Nd2 0.000 0.371 0.750 (multiplicity 4)
Nd3 0.175 0.115 0.887 (multiplicity 8)
W1 0.153 0.350 0.433 (multiplicity 8)
O1 0.080 0.240 0.580 (multiplicity 8)
O2 0.081 0.463 0.478 (multiplicity 8)
O3 0.092 0.013 0.078 (multiplicity 8)
O4 0.103 0.279 0.123 (multiplicity 8)
O5 0.231 0.448 0.358 (multiplicity 8)
O6 0.234 0.293 0.724 (multiplicity 8)

ii.
## Nd2WO6 (GGA-PBEsol)

Data for a relaxed structure of Nd2WO6.

Results
N(E_F) (states/eV per cell): 0.00
Spin magnetization (μB per formula unit): 0.0

Cell: 5.367 9.277 10.131 Å, 90.00 90.00 90.00°
Space group P2_12_12_1 (No. 19)
Asymmetric unit:
Nd1 0.026 0.103 0.463 (multiplicity 4)
Nd2 0.032 0.219 0.870 (multiplicity 4)
W1 0.043 0.496 0.351 (multiplicity 4)
O1 0.066 0.849 0.024 (multiplicity 4)
O2 0.172 0.950 0.287 (multiplicity 4)
O3 0.184 0.638 0.240 (multiplicity 4)
O4 0.189 0.635 0.821 (multiplicity 4)
O5 0.222 0.110 0.064 (multiplicity 4)
O6 0.247 0.409 0.991 (multiplicity 4)

ii ends up most stable, edging out the next structure by 10 meV per atom.

i.
## PmNd3 (GGA-PBEsol)

Data for a relaxed structure of PmNd3.

Results
N(E_F) (states/eV per cell): 13.03
Spin magnetization (μB per formula unit): 0.0

Cell: 7.2021 7.2021 5.8591 Å, 90.00 90.00 120.00°
Space group P6_3/mmc (No. 194)
Asymmetric unit:
Pm1 0.3333 0.6667 0.2500 (multiplicity 2)
Nd1 0.1667 0.3334 0.7500 (multiplicity 6)

ii.
## PmNd3 (GGA-PBEsol)

Data for a relaxed structure of PmNd3.

Results
N(E_F) (states/eV per cell): 12.54
Spin magnetization (μB per formula unit): 0.0

Cell: 5.081 5.081 10.151 Å, 90.00 90.00 90.00°
Space group I4/mmm (No. 139)
Asymmetric unit:
Pm1 0.000 0.000 0.000 (multiplicity 2)
Nd1 0.000 0.000 0.500 (multiplicity 2)
Nd2 0.000 0.500 0.250 (multiplicity 4)

ii ends up most stable, edging out the next structure by 23 meV per atom.

i.
## Pm3Nd (GGA-PBEsol)

Data for a relaxed structure of Pm3Nd.

Results
N(E_F) (states/eV per cell): 13.16
Spin magnetization (μB per formula unit): 0.0

Cell: 7.1793 7.1793 5.8211 Å, 90.00 90.00 120.00°
Space group P6_3/mmc (No. 194)
Asymmetric unit:
Pm1 0.1666 0.3331 0.2500 (multiplicity 6)
Nd1 0.3333 0.6667 0.7500 (multiplicity 2)

ii.
## Pm3Nd (GGA-PBEsol)

Data for a relaxed structure of Pm3Nd.

Results
N(E_F) (states/eV per cell): 12.26
Spin magnetization (μB per formula unit): 0.0

Cell: 5.059 5.059 10.107 Å, 90.00 90.00 90.00°
Space group I4/mmm (No. 139)
Asymmetric unit:
Pm1 0.000 0.000 0.000 (multiplicity 2)
Pm2 0.000 0.500 0.250 (multiplicity 4)
Nd1 0.000 0.000 0.500 (multiplicity 2)

ii ends up most stable, edging out the next structure by 23 meV per atom.